Entry from Alexandria: a geometry-optimized KLiSi2 structure (PBE-GGA).

Energy above the lowest structure with this stoichiometry, eV/atom: 0.0500
Formation energy from raw total energies, meV per atom: 63

a b c (Å): 2.886 4.127 7.154
angles (deg): 90.00 90.00 90.00
Space group Pmmm (No. 47)
Asymmetric unit:
K (0.000, 0.000, 0.000) [1 per cell]
Li (0.000, 0.000, 0.500) [1 per cell]
Si (0.500, 0.500, 0.337) [2 per cell]

Entry from Alexandria: a geometry-optimized MgScSb2 structure (PBE-GGA).

Formation energy from raw total energies, meV per atom: -499

a b c (Å): 3.557 4.615 6.169
angles (deg): 90.00 90.00 90.00
Space group Pmm2 (No. 25)
Asymmetric unit:
Mg (0.000, 0.000, 0.000) [1 per cell]
Sc (0.500, 0.500, 0.611) [1 per cell]
Sb (0.000, 0.000, 0.528) [1 per cell]
Sb (0.500, 0.500, 0.104) [1 per cell]

Entry from Alexandria: a geometry-optimized SnPtW structure (PBE-GGA).

Formation enthalpy at 0 K, meV per atom: 242

a b c (Å): 13.318 3.332 4.836
angles (deg): 90.00 90.00 90.00
Space group Amm2 (No. 38)
Asymmetric unit:
Sn (0.169, 0.000, 0.000) [4 per cell]
Pt (0.000, 0.000, 0.342) [2 per cell]
Pt (0.500, 0.000, 0.982) [2 per cell]
W (0.342, 0.000, 0.352) [4 per cell]

Entry from Alexandria: a geometry-optimized Pm12Dy6Ho structure (PBE-GGA).

Energy above the lowest structure with this stoichiometry, eV/atom: 0.0000
Formation enthalpy at 0 K, meV per atom: 137

a b c (Å): 12.1101 12.1101 15.2452
angles (deg): 90.00 90.00 120.00
Space group R-3 (No. 148, hexagonal axes)
Asymmetric unit:
Pm (0.0042, 0.1743, 0.1912) [18 per cell]
Pm (0.0462, 0.1963, 0.4164) [18 per cell]
Dy (0.0148, 0.5883, 0.6861) [18 per cell]
Ho (0.0000, 0.0000, 0.0000) [3 per cell]

Entry from Alexandria: a geometry-optimized FeSb6Os structure (PBE-GGA).

Formation energy from raw total energies, meV per atom: 7

a b c (Å): 13.136 9.330 9.318
angles (deg): 90.00 134.80 90.00
Space group C2/m (No. 12)
Asymmetric unit:
Fe (0.250, 0.250, 0.000) [4 per cell]
Sb (0.004, 0.157, 0.839) [8 per cell]
Sb (0.157, 0.334, 0.661) [8 per cell]
Sb (0.164, 0.500, 0.319) [4 per cell]
Sb (0.167, 0.500, 0.007) [4 per cell]
Os (0.250, 0.250, 0.500) [4 per cell]

Entry from Alexandria: a geometry-optimized MnSn3Ir structure (PBE-GGA).

Energy above the lowest structure with this stoichiometry, eV/atom: 0.2777
Formation enthalpy at 0 K, meV per atom: 802

a b c (Å): 4.963 4.963 4.963
angles (deg): 90.00 90.00 90.00
Space group Pm-3m (No. 221)
Asymmetric unit:
Mn (0.000, 0.000, 0.000) [1 per cell]
Sn (0.000, 0.000, 0.500) [3 per cell]
Ir (0.500, 0.500, 0.500) [1 per cell]